This record from Alexandria via LeMat-Bulk describes a relaxed structure of Na2Ca3RuO6. The functional is PBE-GGA.

```
data_Na2Ca3RuO6
_chemical_formula_sum 'Na4 Ca6 Ru2 O12'
_symmetry_space_group_name_H-M 'C 1 2/m 1'
_symmetry_Int_Tables_number 12
_cell_length_a 5.8606
_cell_length_b 10.1030
_cell_length_c 5.5605
_cell_angle_alpha 90.00
_cell_angle_beta 111.35
_cell_angle_gamma 90.00
loop_
_symmetry_equiv_pos_as_xyz
'x,y,z'
'-x,-y,-z'
'-x,y,-z'
'x,-y,z'
'x+1/2,y+1/2,z'
'-x+1/2,-y+1/2,-z'
'-x+1/2,y+1/2,-z'
'x+1/2,-y+1/2,z'
loop_
_atom_site_label
_atom_site_fract_x
_atom_site_fract_y
_atom_site_fract_z
Na1 0.0000 0.1683 0.0000
Ca1 0.0000 0.0000 0.5000
Ca2 0.0000 0.3288 0.5000
Ru1 0.0000 0.5000 0.0000
O1 0.2073 0.5000 0.7753
O2 0.2295 0.3497 0.2443
```

Values from the calculation:
D(E_F)   3.333 states/eV/f.u.
Energy relative to the elements, uncorrected   -2064 meV/atom